Here is a relaxed CaSc2Ru crystal from Alexandria via LeMat-Bulk. Energies are from GGA-PBE.

Geometry as POSCAR:
```
CaSc2Ru
1.0
9.996 0.059 0.035
9.397 3.410 0.035
9.397 1.681 2.967
Sc Ru Ca
2 1 1
Cartesian
13.744 2.458 1.450
0.651 0.116 0.069
21.592 3.862 2.278
7.197 1.287 0.759
```

energy of formation: -26 meV per atom
symmetry: R-3m (166)
D(E_F): 5.49 states/eV per cell